(1)
# Tc2GeAs

An optimized crystal structure of Tc2GeAs (GGA-PBE, the Alexandria database).

Computed properties:
The offset from the most stable computed form is 4.7 meV per atom. The uncorrected energy is -30.31 eV for the cell shown. As for the symmetry: No. 225. For the density of states at the Fermi level, the calculation gives 0.573 states/eV per atom.

The structure in POSCAR format:
```
Tc2GeAs
1.0
0.000 3.069 3.069
3.069 0.000 3.069
3.069 3.069 0.000
Tc Ge As
2 1 1
Direct
0.250 0.250 0.250
0.750 0.750 0.750
0.000 0.000 0.000
0.500 0.500 0.500
```



(2)
# TcGeAs

An optimized crystal structure of TcGeAs (GGA-PBE, the Alexandria database).

Computed properties:
The offset from the most stable computed form is 124.7 meV per atom. The uncorrected energy is -20.01 eV for the cell shown. As for the symmetry: No. 156. For the density of states at the Fermi level, the calculation gives 0.132 states/eV per atom.

The structure in POSCAR format:
```
TcGeAs
1.0
3.347 0.000 0.000
-1.674 2.899 0.000
0.000 0.000 5.623
Tc Ge As
1 1 1
Direct
0.000 0.000 0.000
0.333 0.667 0.712
0.333 0.667 0.275
```



(3)
# TcGeAs

An optimized crystal structure of TcGeAs (GGA-PBE, the Alexandria database).

Computed properties:
The offset from the most stable computed form is 0.0 meV per atom. The uncorrected energy is -40.77 eV for the cell shown. As for the symmetry: No. 8. For the density of states at the Fermi level, the calculation gives 0.181 states/eV per atom.

The structure in POSCAR format:
```
TcGeAs
1.0
4.547 -1.600 0.000
4.547 1.600 0.000
-3.773 0.000 6.753
Tc Ge As
2 2 2
Direct
0.000 0.000 0.000
0.692 0.692 0.597
0.249 0.249 0.916
0.705 0.705 0.266
0.448 0.448 0.700
0.998 0.998 0.335
```



(4)
# Tc2GeAs

An optimized crystal structure of Tc2GeAs (GGA-PBE, the Alexandria database).

Computed properties:
The offset from the most stable computed form is 684.4 meV per atom. The uncorrected energy is -27.59 eV for the cell shown. As for the symmetry: No. 139. For the density of states at the Fermi level, the calculation gives 0.676 states/eV per atom.

The structure in POSCAR format:
```
Tc2GeAs
1.0
-1.819 1.819 5.222
1.819 -1.819 5.222
1.819 1.819 -5.222
Tc Ge As
2 1 1
Direct
0.246 0.246 0.000
0.754 0.754 0.000
0.500 0.500 0.000
0.000 0.000 0.000
```



- Number 4 is which compound?
  Tc2GeAs



Repeat the third record exactly.
# TcGeAs

An optimized crystal structure of TcGeAs (GGA-PBE, the Alexandria database).

Computed properties:
The offset from the most stable computed form is 0.0 meV per atom. The uncorrected energy is -40.77 eV for the cell shown. As for the symmetry: No. 8. For the density of states at the Fermi level, the calculation gives 0.181 states/eV per atom.

The structure in POSCAR format:
```
TcGeAs
1.0
4.547 -1.600 0.000
4.547 1.600 0.000
-3.773 0.000 6.753
Tc Ge As
2 2 2
Direct
0.000 0.000 0.000
0.692 0.692 0.597
0.249 0.249 0.916
0.705 0.705 0.266
0.448 0.448 0.700
0.998 0.998 0.335
```